*i*
{"formula": "CuPt4", "functional": "GGA-PBE", "state": "optimized geometry", "lattice": [[2.7701, 0.0000, 0.0000], [-1.3850, 2.3989, 0.0000], [0.0000, 0.0000, 34.0347]], "species": ["Cu", "Cu", "Cu", "Pt", "Pt", "Pt", "Pt", "Pt", "Pt", "Pt", "Pt", "Pt", "Pt", "Pt", "Pt"], "fractional_positions": [[0.0000, 0.0000, 0.0000], [0.3333, 0.6667, 0.6667], [0.6667, 0.3333, 0.3333], [0.0000, 0.0000, 0.2013], [0.0000, 0.0000, 0.3957], [0.0000, 0.0000, 0.6043], [0.0000, 0.0000, 0.7987], [0.3333, 0.6667, 0.0624], [0.3333, 0.6667, 0.2710], [0.3333, 0.6667, 0.4654], [0.3333, 0.6667, 0.8679], [0.6667, 0.3333, 0.1321], [0.6667, 0.3333, 0.5346], [0.6667, 0.3333, 0.7290], [0.6667, 0.3333, 0.9376]], "dos_ef_per_ev_cell": 24.229, "vol_a3_per_atom": 15.08}

---

*ii*
{"formula": "CuPt4", "functional": "GGA-PBE", "state": "optimized geometry", "lattice": [[3.6785, 0.0000, 0.0000], [0.0000, 3.6785, 0.0000], [0.0000, 0.0000, 12.8974]], "species": ["Cu", "Cu", "Pt", "Pt", "Pt", "Pt", "Pt", "Pt", "Pt", "Pt"], "fractional_positions": [[0.0000, 0.0000, 0.0000], [0.5000, 0.5000, 0.5000], [0.0000, 0.0000, 0.4040], [0.0000, 0.0000, 0.5960], [0.0000, 0.5000, 0.2500], [0.0000, 0.5000, 0.7500], [0.5000, 0.0000, 0.2500], [0.5000, 0.0000, 0.7500], [0.5000, 0.5000, 0.0960], [0.5000, 0.5000, 0.9040]], "dos_ef_per_ev_cell": 17.583, "vol_a3_per_atom": 17.45}

---

Least stable of them? *ii*.